Entry from the Alexandria database: CaReIr2 after structural relaxation (PBE).

Properties
Relative energy among the computed polymorphs (meV per atom): 71.2
Total DFT energy (no corrections) (eV/atom): -7.94
Density of states at the Fermi level (states/eV/atom): 1.01
V (Å³/atom): 16.26
E_form (eV/atom): 0.105

Cell lengths 4.8912, 4.8912, 2.8161 Å; angles 90.00, 90.00, 105.12 degrees
Fractional positions:
Ir1 0.5000 0.5000 0.0000
Ir2 0.0000 0.0000 0.0000
Re1 0.5000 0.0000 0.5000
Ca1 0.0000 0.5000 0.5000